1.
BeTlNi2: optimized geometry, GGA-PBE.

- V: 55.3 Å³ per cell
- E_form: 0.250 eV/atom
- Space-group type: Pm
- DOS(E_F): 0.64 states/eV per atom

Unit cell a=3.9471 b=2.8900 c=5.0628 alpha=73.22 beta=90.00 gamma=90.00
Positions (direct):
Ni 0.0000 0.8204 0.9853
Ni 0.5000 0.2223 0.1771
Tl 0.0000 0.5572 0.5122
Be 0.5000 0.9000 0.8254

***

2.
YHPd2Pb: optimized geometry, GGA-PBE.

- Calculated total energy: -5.18 eV/atom
- V: 85.7 Å³ per cell
- Space-group type: P4/mmm
- DOS(E_F): 0.65 states/eV per atom

Unit cell a=4.4362 b=4.4362 c=4.3554 alpha=90.00 beta=90.00 gamma=90.00
Positions (direct):
Pb 0.5000 0.5000 0.5000
Y 0.0000 0.0000 0.5000
Pd 0.0000 0.5000 0.0000
Pd 0.5000 0.0000 0.0000
H 0.0000 0.0000 0.0000